Entry 1:
First-principles (PBE-GGA) data for an optimized crystal structure of Pr3ThAs3, as listed in the Alexandria database. Values from VASP.

```
&SYSTEM
  ibrav = 0, nat = 28, ntyp = 3
/
ATOMIC_SPECIES
Pr 140.91 Pr.upf
Th 232.04 Th.upf
As 74.92 As.upf
ATOMIC_POSITIONS crystal
Pr 0.064 0.436 0.564
Pr 0.183 0.183 0.183
Pr 0.184 0.816 0.316
Pr 0.316 0.184 0.816
Pr 0.317 0.817 0.683
Pr 0.436 0.564 0.064
Pr 0.564 0.064 0.436
Pr 0.683 0.317 0.817
Pr 0.684 0.684 0.684
Pr 0.816 0.316 0.184
Pr 0.817 0.683 0.317
Pr 0.936 0.936 0.936
Th 0.069 0.569 0.931
Th 0.431 0.431 0.431
Th 0.569 0.931 0.069
Th 0.931 0.069 0.569
As 0.000 0.254 0.873
As 0.000 0.754 0.627
As 0.127 0.500 0.246
As 0.246 0.127 0.500
As 0.254 0.873 0.000
As 0.373 0.500 0.746
As 0.500 0.246 0.127
As 0.500 0.746 0.373
As 0.627 0.000 0.754
As 0.746 0.373 0.500
As 0.754 0.627 0.000
As 0.873 0.000 0.254
CELL_PARAMETERS angstrom
9.086 0.000 0.000
0.000 9.086 0.000
0.000 0.000 9.086
```

Output
ΔH_f (0 K) = -1.2118 eV/atom
ρ = 7.8 g cm⁻³

***

Entry 2:
First-principles (PBE-GGA) data for an optimized crystal structure of TcMoRh4, as listed in the Alexandria database. Values from VASP.

```
&SYSTEM
  ibrav = 0, nat = 6, ntyp = 3
/
ATOMIC_SPECIES
Tc 98.00 Tc.upf
Mo 95.94 Mo.upf
Rh 102.91 Rh.upf
ATOMIC_POSITIONS crystal
Tc 0.000 0.000 0.000
Mo 0.500 0.500 0.500
Rh 0.006 0.494 0.751
Rh 0.494 0.006 0.751
Rh 0.506 0.994 0.249
Rh 0.994 0.506 0.249
CELL_PARAMETERS angstrom
2.840 -3.163 0.000
2.840 3.163 0.000
-0.283 0.000 5.683
```

Output
ΔH_f (0 K) = 0.3392 eV/atom
relative energy among the computed polymorphs = 486 meV per atom
ρ = 9.8 g cm⁻³

***

Entry 3:
First-principles (PBE-GGA) data for an optimized crystal structure of Y2TmIn3Te6, as listed in the Alexandria database. Values from VASP.

```
&SYSTEM
  ibrav = 0, nat = 12, ntyp = 4
/
ATOMIC_SPECIES
Y 88.91 Y.upf
Tm 168.93 Tm.upf
In 114.82 In.upf
Te 127.60 Te.upf
ATOMIC_POSITIONS crystal
Y 0.166 0.834 0.000
Y 0.834 0.166 0.000
Tm 0.500 0.500 0.000
In 0.000 0.000 0.500
In 0.332 0.668 0.500
In 0.668 0.332 0.500
Te 0.097 0.427 0.782
Te 0.243 0.243 0.219
Te 0.427 0.097 0.782
Te 0.573 0.903 0.218
Te 0.757 0.757 0.781
Te 0.903 0.573 0.218
CELL_PARAMETERS angstrom
3.811 -6.601 0.000
3.811 6.601 0.000
-2.541 0.000 8.111
```

Output
E_form (uncorrected) = -0.972 eV/atom
ρ = 5.9 g cm⁻³

***

Entry 4:
First-principles (PBE-GGA) data for an optimized crystal structure of Pm6TlAu5, as listed in the Alexandria database. Values from VASP.

```
&SYSTEM
  ibrav = 0, nat = 12, ntyp = 3
/
ATOMIC_SPECIES
Pm 145.00 Pm.upf
Tl 204.38 Tl.upf
Au 196.97 Au.upf
ATOMIC_POSITIONS crystal
Pm 0.000 0.000 0.237
Pm 0.000 0.000 0.763
Pm 0.329 0.671 0.248
Pm 0.329 0.671 0.752
Pm 0.671 0.329 0.248
Pm 0.671 0.329 0.752
Tl 0.500 0.500 0.500
Au 0.158 0.842 0.500
Au 0.167 0.833 0.000
Au 0.500 0.500 0.000
Au 0.833 0.167 0.000
Au 0.842 0.158 0.500
CELL_PARAMETERS angstrom
2.618 -7.888 0.000
2.618 7.888 0.000
0.000 0.000 7.499
```

Output
ΔH_f (0 K) = -0.7046 eV/atom
ρ = 11.0 g cm⁻³

***

Entry 5:
First-principles (PBE-GGA) data for an optimized crystal structure of LaPmHoGa, as listed in the Alexandria database. Values from VASP.

```
&SYSTEM
  ibrav = 0, nat = 4, ntyp = 4
/
ATOMIC_SPECIES
La 138.91 La.upf
Pm 145.00 Pm.upf
Ho 164.93 Ho.upf
Ga 69.72 Ga.upf
ATOMIC_POSITIONS crystal
La 0.000 0.000 0.000
Pm 0.250 0.250 0.250
Ho 0.500 0.500 0.500
Ga 0.750 0.750 0.750
CELL_PARAMETERS angstrom
0.000 3.854 3.854
3.854 0.000 3.854
3.854 3.854 0.000
```

Output
ΔH_f (0 K) = -0.0690 eV/atom
ρ = 7.5 g cm⁻³

***

Entry 6:
First-principles (PBE-GGA) data for an optimized crystal structure of BeAlFe2, as listed in the Alexandria database. Values from VASP.

```
&SYSTEM
  ibrav = 0, nat = 4, ntyp = 3
/
ATOMIC_SPECIES
Be 9.01 Be.upf
Al 26.98 Al.upf
Fe 55.84 Fe.upf
ATOMIC_POSITIONS crystal
Be 0.000 0.000 0.000
Al 0.000 0.000 0.500
Fe 0.500 0.500 0.215
Fe 0.500 0.500 0.785
CELL_PARAMETERS angstrom
2.790 0.000 0.000
0.000 2.790 0.000
0.000 0.000 5.423
```

Output
ΔH_f (0 K) = -0.2261 eV/atom
ρ = 5.8 g cm⁻³

***

Entry 7:
First-principles (PBE-GGA) data for an optimized crystal structure of Cs3Th3HgSe8, as listed in the Alexandria database. Values from VASP.

```
&SYSTEM
  ibrav = 0, nat = 15, ntyp = 4
/
ATOMIC_SPECIES
Cs 132.91 Cs.upf
Th 232.04 Th.upf
Hg 200.59 Hg.upf
Se 78.96 Se.upf
ATOMIC_POSITIONS crystal
Cs 0.000 0.000 0.000
Cs 0.000 0.500 0.000
Cs 0.500 0.000 0.000
Th 0.000 0.500 0.500
Th 0.500 0.000 0.500
Th 0.500 0.500 0.500
Hg 0.000 0.000 0.500
Se 0.241 0.241 0.686
Se 0.242 0.703 0.686
Se 0.269 0.269 0.308
Se 0.297 0.758 0.314
Se 0.703 0.242 0.686
Se 0.731 0.731 0.692
Se 0.758 0.297 0.314
Se 0.759 0.759 0.314
CELL_PARAMETERS angstrom
7.633 -4.409 0.000
7.633 4.409 0.000
-5.093 0.000 8.370
```

Output
E_form (uncorrected) = -1.415 eV/atom
ρ = 5.7 g cm⁻³

***

Entry 8:
First-principles (PBE-GGA) data for an optimized crystal structure of K2Be2Rh, as listed in the Alexandria database. Values from VASP.

```
&SYSTEM
  ibrav = 0, nat = 5, ntyp = 3
/
ATOMIC_SPECIES
K 39.10 K.upf
Be 9.01 Be.upf
Rh 102.91 Rh.upf
ATOMIC_POSITIONS crystal
K 0.250 0.750 0.500
K 0.750 0.250 0.500
Be 0.070 0.070 0.000
Be 0.930 0.930 0.000
Rh 0.500 0.500 0.000
CELL_PARAMETERS angstrom
-1.854 1.854 7.031
1.854 -1.854 7.031
1.854 1.854 -7.031
```

Output
ΔH_f (0 K) = 1.2775 eV/atom
relative energy among the computed polymorphs = 791 meV per atom
ρ = 3.4 g cm⁻³

***

Entry 9:
First-principles (PBE-GGA) data for an optimized crystal structure of YZnSe, as listed in the Alexandria database. Values from VASP.

```
&SYSTEM
  ibrav = 0, nat = 6, ntyp = 3
/
ATOMIC_SPECIES
Y 88.91 Y.upf
Zn 65.41 Zn.upf
Se 78.96 Se.upf
ATOMIC_POSITIONS crystal
Y 0.138 0.138 0.269
Y 0.862 0.862 0.731
Zn 0.354 0.354 0.539
Zn 0.646 0.646 0.461
Se 0.257 0.257 0.842
Se 0.743 0.743 0.158
CELL_PARAMETERS angstrom
3.502 -2.124 0.000
3.502 2.124 0.000
-3.400 0.000 12.018
```

Output
relative energy among the computed polymorphs = 0 meV per atom
E_form (uncorrected) = -0.864 eV/atom
ρ = 4.3 g cm⁻³

***

Entry 10:
First-principles (PBE-GGA) data for an optimized crystal structure of VCdW2S, as listed in the Alexandria database. Values from VASP.

```
&SYSTEM
  ibrav = 0, nat = 5, ntyp = 4
/
ATOMIC_SPECIES
V 50.94 V.upf
Cd 112.41 Cd.upf
W 183.84 W.upf
S 32.06 S.upf
ATOMIC_POSITIONS crystal
V 0.000 0.000 0.000
Cd 0.500 0.500 0.500
W 0.000 0.500 0.000
W 0.500 0.000 0.000
S 0.000 0.000 0.500
CELL_PARAMETERS angstrom
4.737 0.000 0.000
0.000 4.737 0.000
0.000 0.000 4.258
```

Output
E_form (uncorrected) = 1.366 eV/atom
ρ = 9.8 g cm⁻³

***

Entry 11:
First-principles (PBE-GGA) data for an optimized crystal structure of RbLi2CdI, as listed in the Alexandria database. Values from VASP.

```
&SYSTEM
  ibrav = 0, nat = 5, ntyp = 4
/
ATOMIC_SPECIES
Rb 85.47 Rb.upf
Li 6.94 Li.upf
Cd 112.41 Cd.upf
I 126.90 I.upf
ATOMIC_POSITIONS crystal
Rb 0.000 0.000 0.000
Li 0.000 0.500 0.500
Li 0.500 0.000 0.500
Cd 0.500 0.500 0.000
I 0.500 0.500 0.500
CELL_PARAMETERS angstrom
5.441 0.000 0.000
0.000 5.441 0.000
0.000 0.000 7.614
```

Output
E_form (uncorrected) = -0.178 eV/atom
ρ = 2.5 g cm⁻³

***

Entry 12:
First-principles (PBE-GGA) data for an optimized crystal structure of Mn2Os2Rh, as listed in the Alexandria database. Values from VASP.

```
&SYSTEM
  ibrav = 0, nat = 10, ntyp = 3
/
ATOMIC_SPECIES
Mn 54.94 Mn.upf
Os 190.23 Os.upf
Rh 102.91 Rh.upf
ATOMIC_POSITIONS crystal
Mn 0.122 0.378 0.000
Mn 0.378 0.878 0.000
Mn 0.622 0.122 0.000
Mn 0.878 0.622 0.000
Os 0.171 0.671 0.500
Os 0.329 0.171 0.500
Os 0.671 0.829 0.500
Os 0.829 0.329 0.500
Rh 0.000 0.000 0.000
Rh 0.500 0.500 0.000
CELL_PARAMETERS angstrom
7.010 0.000 0.000
0.000 7.010 0.000
0.000 0.000 2.698
```

Output
ΔH_f (0 K) = 0.1420 eV/atom
relative energy among the computed polymorphs = 0 meV per atom
ρ = 14.9 g cm⁻³

***

Number 1: total energy -6.3128 eV per atom. Number 2: total energy -8.0946 eV per atom. Number 3: total energy -4.6769 eV per atom. Number 4: total energy -4.6427 eV per atom. Number 5: total energy -4.3897 eV per atom. Number 6: total energy -6.3246 eV per atom. Number 7: total energy -4.9479 eV per atom. Number 8: total energy -2.1223 eV per atom. Number 9: total energy -4.6053 eV per atom. Number 10: total energy -6.6477 eV per atom. Number 11: total energy -1.6305 eV per atom. Number 12: total energy -9.4881 eV per atom.